# 1
Material: LiScHg2
Method: DFT, PBE-GGA
State: relaxed

Unit cell a=4.9310 b=4.9310 c=8.3340 alpha=90.00 beta=90.00 gamma=120.00
Space group P6_3/mmc (No. 194)
Asymmetric unit:
Li  0.3333  0.6667  0.2500 (multiplicity 2)
Sc  0.0000  0.0000  0.0000 (multiplicity 2)
Hg  0.3333  0.6667  0.5791 (multiplicity 4)

**Theoretical density**: 8.6 g/cm³
**Excess energy over the best structure of this formula in the dataset**: 0.169 eV per atom
**Calculated total energy**: -0.17945 Ry per atom



# 2
Material: LiScHg2
Method: DFT, PBE-GGA
State: relaxed

Unit cell a=4.6972 b=4.6972 c=8.7596 alpha=90.00 beta=90.00 gamma=120.00
Space group P6_3/mmc (No. 194)
Asymmetric unit:
Li  0.0000  0.0000  0.0000 (multiplicity 2)
Sc  0.3333  0.6667  0.2500 (multiplicity 2)
Hg  0.3333  0.6667  0.5839 (multiplicity 4)

**Theoretical density**: 9.0 g/cm³
**Excess energy over the best structure of this formula in the dataset**: 0.073 eV per atom
**Calculated total energy**: -0.18647 Ry per atom



# 3
Material: LiScHg2
Method: DFT, PBE-GGA
State: relaxed

Unit cell a=4.967 b=4.967 c=3.336 alpha=90.00 beta=90.00 gamma=90.00
Space group P4/mmm (No. 123)
Asymmetric unit:
Li  0.000  0.000  0.000 (multiplicity 1)
Sc  0.500  0.500  0.000 (multiplicity 1)
Hg  0.000  0.500  0.500 (multiplicity 2)

**Theoretical density**: 9.1 g/cm³
**Excess energy over the best structure of this formula in the dataset**: 0.006 eV per atom
**Calculated total energy**: -0.19140 Ry per atom



# 4
Material: LiScHg2
Method: DFT, PBE-GGA
State: relaxed

Unit cell a=4.829 b=4.829 c=6.848 alpha=90.00 beta=90.00 gamma=90.00
Space group I4/mmm (No. 139)
Asymmetric unit:
Li  0.000  0.000  0.000 (multiplicity 2)
Sc  0.000  0.000  0.500 (multiplicity 2)
Hg  0.000  0.500  0.250 (multiplicity 4)

**Theoretical density**: 9.4 g/cm³
**Excess energy over the best structure of this formula in the dataset**: 0.000 eV per atom
**Calculated total energy**: -0.19187 Ry per atom



# 5
Material: LiScHg2
Method: DFT, PBE-GGA
State: relaxed

Unit cell a=4.969 b=4.969 c=3.335 alpha=90.00 beta=90.00 gamma=90.00
Space group P4/mmm (No. 123)
Asymmetric unit:
Li  0.000  0.000  0.000 (multiplicity 1)
Sc  0.500  0.500  0.000 (multiplicity 1)
Hg  0.000  0.500  0.500 (multiplicity 2)

**Theoretical density**: 9.1 g/cm³
**Excess energy over the best structure of this formula in the dataset**: 0.006 eV per atom
**Calculated total energy**: -0.19142 Ry per atom



# 6
Material: LiScHg2
Method: DFT, PBE-GGA
State: relaxed

Unit cell a=4.8439 b=4.8439 c=8.5436 alpha=90.00 beta=90.00 gamma=120.00
Space group P6_3/mmc (No. 194)
Asymmetric unit:
Li  0.0000  0.0000  0.2500 (multiplicity 2)
Sc  0.3333  0.6667  0.2500 (multiplicity 2)
Hg  0.3333  0.6667  0.5826 (multiplicity 4)

**Theoretical density**: 8.7 g/cm³
**Excess energy over the best structure of this formula in the dataset**: 0.329 eV per atom
**Calculated total energy**: -0.16771 Ry per atom



# 7
Material: LiScHg2
Method: DFT, PBE-GGA
State: relaxed

Unit cell a=3.374 b=3.374 c=6.958 alpha=90.00 beta=90.00 gamma=90.00
Space group P4/mmm (No. 123)
Asymmetric unit:
Li  0.000  0.000  0.000 (multiplicity 1)
Sc  0.000  0.000  0.500 (multiplicity 1)
Hg  0.500  0.500  0.233 (multiplicity 2)

**Theoretical density**: 9.5 g/cm³
**Excess energy over the best structure of this formula in the dataset**: 0.027 eV per atom
**Calculated total energy**: -0.18989 Ry per atom



# 8
Material: LiSmHgSe3
Method: DFT, PBE-GGA
State: relaxed

Unit cell a=11.291 b=4.196 c=13.270 alpha=90.00 beta=90.00 gamma=90.00
Space group Pnma (No. 62)
Asymmetric unit:
Li  0.163  0.250  0.072 (multiplicity 4)
Sm  0.117  0.250  0.761 (multiplicity 4)
Hg  0.130  0.250  0.376 (multiplicity 4)
Se  0.095  0.750  0.608 (multiplicity 4)
Se  0.135  0.750  0.201 (multiplicity 4)
Se  0.149  0.750  0.921 (multiplicity 4)

**Theoretical density**: 6.3 g/cm³
**Excess energy over the best structure of this formula in the dataset**: 0.000 eV per atom
**Calculated total energy**: -0.29529 Ry per atom